(1)
## Rb2CoPd (PBE)

Data for a relaxed Rb2CoPd crystal.

Computed properties:
* relative energy among the computed polymorphs: 0.000 eV/atom

a b c (Å): 12.7155 12.7155 4.7543
angles (deg): 90.00 90.00 90.00
With the nearest neighbours (Å) after each atom.
Space group I-42d (No. 122)
Asymmetric unit:
Rb  0.0625  0.2500  0.1250  2 Pd 3.33
Co  0.0000  0.0000  0.5000  2 Pd 2.38
Pd  0.0000  0.0000  0.0000  2 Co 2.38

***

(2)
## Rb2CoPd (PBE)

Data for a relaxed Rb2CoPd crystal.

Computed properties:
* relative energy among the computed polymorphs: 0.439 eV/atom

a b c (Å): 8.1431 8.1431 8.1431
angles (deg): 90.00 90.00 90.00
With the nearest neighbours (Å) after each atom.
Space group Fm-3m (No. 225)
Asymmetric unit:
Rb  0.2500  0.2500  0.2500  4 Co 3.53, 4 Pd 3.53
Co  0.0000  0.0000  0.0000  8 Rb 3.53
Pd  0.0000  0.0000  0.5000  8 Rb 3.53

***

(3)
## Rb2CoPd2 (PBE)

Data for a relaxed Rb2CoPd2 crystal.

a b c (Å): 6.6184 6.6184 5.6650
angles (deg): 90.00 90.00 90.00
With the nearest neighbours (Å) after each atom.
Space group P4/mbm (No. 127)
Asymmetric unit:
Rb  0.1809  0.3191  0.0000  6 Pd 3.27-3.57, 5 Rb 3.39-3.43
Co  0.0000  0.0000  0.5000  4 Pd 2.54
Pd  0.1450  0.6450  0.5000  2 Co 2.54, 1 Pd 2.71

***

| no. | energy of formation from the pure elements (eV per formula unit) | D(E_F) (states/eV per atom) |
| --- | --- | --- |
| 1 | 2.50 | 1.2985 |
| 2 | 4.26 | 10.4906 |
| 3 | 2.15 | 1.2881 |